No. 1
# CeSi2IrRh2

An optimized crystal structure of CeSi2IrRh2 (PBE-GGA, the Alexandria database).

abc: 4.5223 4.5223 5.4901
angles: 90.00 90.00 90.00
Sites, in units of the cell vectors:
Ir: 0.0000 0.0000 0.0000
Si: 0.5000 0.0000 0.0000
Si: 0.0000 0.5000 0.0000
Rh: 0.5000 0.5000 0.7486
Rh: 0.5000 0.5000 0.2514
Ce: 0.0000 0.0000 0.5000

## Properties
For the formation energy from raw total energies, the calculation gives -0.374 eV/atom. The value obtained for the density of states at the Fermi level is 1.030 states/eV/atom.

No. 2
# AcNpBi2

An optimized crystal structure of AcNpBi2 (PBE-GGA, the Alexandria database).

abc: 5.7075 5.7075 5.7075
angles: 60.00 60.00 60.00
Sites, in units of the cell vectors:
Ac: 0.0000 0.0000 0.0000
Bi: 0.7500 0.7500 0.7500
Bi: 0.2500 0.2500 0.2500
Np: 0.5000 0.5000 0.5000

## Properties
The value obtained for the density of states at the Fermi level is 4.113 states/eV/atom. The calculation puts the energy above the lowest structure with this stoichiometry at 0.20 eV/f.u.

No. 3
# Li2Ho2TmGa2

An optimized crystal structure of Li2Ho2TmGa2 (PBE-GGA, the Alexandria database).

abc: 4.5598 4.5598 9.1221
angles: 75.53 75.53 60.00
Sites, in units of the cell vectors:
Ho: 0.1256 0.1256 0.6232
Ho: 0.8744 0.8744 0.3768
Ga: 0.2627 0.2627 0.2120
Ga: 0.7373 0.7373 0.7880
Tm: 0.0000 0.0000 0.0000
Li: 0.3948 0.3948 0.8155
Li: 0.6052 0.6052 0.1845

## Properties
The value obtained for the total energy is -3.630 eV/atom. The value obtained for the density of states at the Fermi level is 0.647 states/eV/atom.

No. 4
# V2NiRh2

An optimized crystal structure of V2NiRh2 (PBE-GGA, the Alexandria database).

abc: 3.7401 6.1122 6.1122
angles: 90.00 90.00 90.00
Sites, in units of the cell vectors:
V: 0.0000 0.6371 0.1371
V: 0.0000 0.3629 0.8629
V: 0.0000 0.1371 0.3629
V: 0.0000 0.8629 0.6371
Rh: 0.5000 0.6628 0.8372
Rh: 0.5000 0.1628 0.6628
Rh: 0.5000 0.3372 0.1628
Rh: 0.5000 0.8372 0.3372
Ni: 0.0000 0.5000 0.5000
Ni: 0.0000 0.0000 0.0000

## Properties
The value obtained for the total energy is -7.646 eV/atom. The value obtained for the density of states at the Fermi level is 1.154 states/eV/atom.

No. 5
# Cs2RbTa2O7

An optimized crystal structure of Cs2RbTa2O7 (PBE-GGA, the Alexandria database).

abc: 4.0861 4.0861 12.6776
angles: 80.72 80.72 90.00
Sites, in units of the cell vectors:
Cs: 0.8119 0.8119 0.3762
Cs: 0.1881 0.1881 0.6238
O: 0.9164 0.4164 0.1672
O: 0.5836 0.0836 0.8328
O: 0.0836 0.5836 0.8328
O: 0.4164 0.9164 0.1672
O: 0.3373 0.3373 0.3253
O: 0.5000 0.5000 0.0000
O: 0.6627 0.6627 0.6747
Rb: 0.0000 0.0000 0.0000
Ta: 0.4139 0.4139 0.1723
Ta: 0.5861 0.5861 0.8277

## Properties
For the formation energy from raw total energies, the calculation gives -2.289 eV/atom. The value obtained for the density of states at the Fermi level is 0.542 states/eV/atom.

No. 6
# FePb

An optimized crystal structure of FePb (PBE-GGA, the Alexandria database).

abc: 6.9457 6.9457 6.9457
angles: 32.76 32.76 32.76
Sites, in units of the cell vectors:
Pb: 0.9062 0.9062 0.9062
Pb: 0.0938 0.0938 0.0938
Fe: 0.3342 0.3342 0.3342
Fe: 0.6658 0.6658 0.6658

## Properties
The value obtained for the total energy is -5.705 eV/atom. The value obtained for the density of states at the Fermi level is 0.682 states/eV/atom.

No. 7
# Li6GaSi

An optimized crystal structure of Li6GaSi (PBE-GGA, the Alexandria database).

abc: 7.0709 7.2161 5.0026
angles: 44.06 45.06 60.32
Sites, in units of the cell vectors:
Li: 0.9980 0.5074 0.2362
Li: 0.7415 0.0043 0.7533
Li: 0.5039 0.2584 0.2421
Li: 0.4961 0.7416 0.7579
Li: 0.2585 0.9957 0.2467
Li: 0.0020 0.4926 0.7638
Si: 0.5000 0.5000 0.5000
Ga: 0.0000 0.0000 0.0000

## Properties
For the formation energy from raw total energies, the calculation gives -0.153 eV/atom. The value obtained for the density of states at the Fermi level is 0.459 states/eV/atom. The calculation puts the energy above the lowest structure with this stoichiometry at 0.06 eV/f.u.

No. 8
# Sc2Co3Re

An optimized crystal structure of Sc2Co3Re (PBE-GGA, the Alexandria database).

abc: 5.0502 5.0502 4.8825
angles: 89.99 121.16 119.99
Sites, in units of the cell vectors:
Sc: 0.2538 0.6266 0.8804
Sc: 0.7462 0.3734 0.1196
Co: 0.5000 0.0000 0.5000
Co: 0.5000 0.5000 0.5000
Co: 0.0000 0.0000 0.5000
Re: 0.0000 0.0000 0.0000

## Properties
The value obtained for the total energy is -8.063 eV/atom. The value obtained for the density of states at the Fermi level is 0.835 states/eV/atom.

No. 9
# Ho2Zn3Au5

An optimized crystal structure of Ho2Zn3Au5 (PBE-GGA, the Alexandria database).

abc: 5.6442 8.9505 8.9505
angles: 70.10 71.62 71.62
Sites, in units of the cell vectors:
Ho: 0.1472 0.5733 0.1322
Ho: 0.3528 0.8678 0.4267
Ho: 0.8528 0.4267 0.8678
Ho: 0.6472 0.1322 0.5733
Zn: 0.7500 0.0000 0.0000
Zn: 0.2500 0.0000 0.0000
Zn: 0.6540 0.4295 0.2625
Zn: 0.3460 0.5705 0.7375
Zn: 0.8460 0.7375 0.5705
Zn: 0.1540 0.2625 0.4295
Au: 0.0515 0.1985 0.1985
Au: 0.9286 0.8747 0.2681
Au: 0.9485 0.8015 0.8015
Au: 0.7500 0.5000 0.5000
Au: 0.4286 0.2681 0.8747
Au: 0.4485 0.8015 0.8015
Au: 0.2500 0.5000 0.5000
Au: 0.5515 0.1985 0.1985
Au: 0.0714 0.1253 0.7319
Au: 0.5714 0.7319 0.1253

## Properties
The value obtained for the density of states at the Fermi level is 0.436 states/eV/atom. The calculation puts the energy above the lowest structure with this stoichiometry at 0.55 eV/f.u.

No. 10
# IrRh4W

An optimized crystal structure of IrRh4W (PBE-GGA, the Alexandria database).

abc: 4.6612 5.2698 7.7579
angles: 70.15 90.46 91.37
Sites, in units of the cell vectors:
Rh: 0.7341 0.4501 0.5986
Rh: 0.6324 0.7823 0.9421
Rh: 0.7659 0.9514 0.5986
Rh: 0.2659 0.5499 0.4014
Rh: 0.1324 0.7244 0.0579
Rh: 0.3676 0.2177 0.0579
Rh: 0.2341 0.0486 0.4014
Rh: 0.8676 0.2756 0.9421
Ir: 0.7500 0.8623 0.2755
Ir: 0.2500 0.1377 0.7245
W: 0.2500 0.6380 0.7241
W: 0.7500 0.3620 0.2759

## Properties
The value obtained for the density of states at the Fermi level is 1.207 states/eV/atom. The calculation puts the energy above the lowest structure with this stoichiometry at 0.00 eV/f.u.

No. 11
# Co2RhCl

An optimized crystal structure of Co2RhCl (PBE-GGA, the Alexandria database).

abc: 4.0098 4.0098 6.4042
angles: 85.59 85.59 42.49
Sites, in units of the cell vectors:
Rh: 0.5359 0.5359 0.5731
Co: 0.8037 0.8037 0.7611
Co: 0.0783 0.0783 0.9115
Cl: 0.0821 0.0821 0.2543

## Properties
For the formation energy from raw total energies, the calculation gives 0.337 eV/atom. The value obtained for the density of states at the Fermi level is 0.994 states/eV/atom. The calculation puts the energy above the lowest structure with this stoichiometry at 0.45 eV/f.u.

No. 12
# SrIn4Au2

An optimized crystal structure of SrIn4Au2 (PBE-GGA, the Alexandria database).

abc: 4.7584 7.6109 19.0609
angles: 90.00 90.00 90.00
Sites, in units of the cell vectors:
In: 0.7500 0.7664 0.8105
In: 0.2500 0.2336 0.1895
In: 0.2500 0.6682 0.6857
In: 0.2500 0.3457 0.0350
In: 0.2500 0.8318 0.1857
In: 0.7500 0.3318 0.3143
In: 0.2500 0.1543 0.5350
In: 0.7500 0.5070 0.5684
In: 0.7500 0.7336 0.3105
In: 0.2500 0.0070 0.9316
In: 0.7500 0.9930 0.0684
In: 0.2500 0.4930 0.4316
In: 0.7500 0.1682 0.8143
In: 0.7500 0.6543 0.9650
In: 0.2500 0.2664 0.6895
In: 0.7500 0.8457 0.4650
Au: 0.7500 0.2573 0.9599
Au: 0.2500 0.5356 0.2804
Au: 0.7500 0.4644 0.7196
Au: 0.7500 0.2427 0.4599
Au: 0.2500 0.7573 0.5401
Au: 0.2500 0.7427 0.0401
Au: 0.7500 0.0356 0.2196
Au: 0.2500 0.9644 0.7804
Sr: 0.7500 0.9713 0.6409
Sr: 0.2500 0.4713 0.8591
Sr: 0.2500 0.0287 0.3591
Sr: 0.7500 0.5287 0.1409

## Properties
The value obtained for the density of states at the Fermi level is 0.287 states/eV/atom. The calculation puts the energy above the lowest structure with this stoichiometry at 0.00 eV/f.u.

No. 13
# Y4Ho5

An optimized crystal structure of Y4Ho5 (PBE-GGA, the Alexandria database).

abc: 7.0004 9.6930 9.6930
angles: 120.00 90.00 90.00
Sites, in units of the cell vectors:
Ho: 0.5000 0.6667 0.3333
Ho: 0.7500 0.6913 0.6913
Ho: 0.7500 0.3087 0.0000
Ho: 0.2500 0.0000 0.6913
Ho: 0.7500 0.0000 0.3087
Ho: 0.2500 0.3087 0.3087
Ho: 0.0000 0.6667 0.3333
Ho: 0.0000 0.3333 0.6667
Ho: 0.5000 0.3333 0.6667
Ho: 0.2500 0.6913 0.0000
Y: 0.0000 0.0000 0.0000
Y: 0.2500 0.0000 0.3577
Y: 0.2500 0.3577 0.0000
Y: 0.7500 0.3577 0.3577
Y: 0.7500 0.6423 0.0000
Y: 0.5000 0.0000 0.0000
Y: 0.2500 0.6423 0.6423
Y: 0.7500 0.0000 0.6423

## Properties
The value obtained for the density of states at the Fermi level is 1.468 states/eV/atom. The calculation puts the energy above the lowest structure with this stoichiometry at 0.16 eV/f.u.

No. 14
# Tl2Co

An optimized crystal structure of Tl2Co (PBE-GGA, the Alexandria database).

abc: 6.5190 6.5190 6.5190
angles: 90.00 90.00 90.00
Sites, in units of the cell vectors:
Tl: 0.1737 0.6737 0.1737
Tl: 0.8263 0.1737 0.3263
Tl: 0.3263 0.1737 0.1737
Tl: 0.3263 0.3263 0.6737
Tl: 0.8263 0.3263 0.8263
Tl: 0.6737 0.8263 0.8263
Tl: 0.1737 0.8263 0.6737
Tl: 0.6737 0.6737 0.3263
Co: 0.5000 0.5000 0.0000
Co: 0.0000 0.5000 0.5000
Co: 0.5000 0.0000 0.5000
Co: 0.0000 0.0000 0.0000

## Properties
The value obtained for the total energy is -3.464 eV/atom. The value obtained for the density of states at the Fermi level is 1.074 states/eV/atom.

No. 15
# Zn4GaCu5

An optimized crystal structure of Zn4GaCu5 (PBE-GGA, the Alexandria database).

abc: 2.9480 2.9480 15.1750
angles: 90.00 90.00 90.00
Sites, in units of the cell vectors:
Cu: 0.5000 0.5000 0.3040
Cu: 0.5000 0.5000 0.6960
Cu: 0.5000 0.5000 0.8948
Cu: 0.5000 0.5000 0.1052
Cu: 0.5000 0.5000 0.5000
Zn: 0.0000 0.0000 0.7931
Zn: 0.0000 0.0000 0.2069
Zn: 0.0000 0.0000 0.4025
Zn: 0.0000 0.0000 0.5975
Ga: 0.0000 0.0000 0.0000

## Properties
The value obtained for the density of states at the Fermi level is 0.139 states/eV/atom. The calculation puts the energy above the lowest structure with this stoichiometry at 0.00 eV/f.u.

No. 16
# Y3GeH

An optimized crystal structure of Y3GeH (PBE-GGA, the Alexandria database).

abc: 3.9182 6.4165 9.0588
angles: 100.48 90.00 90.00
Sites, in units of the cell vectors:
Y: 0.7500 0.2244 0.9335
Y: 0.2500 0.9020 0.6337
Y: 0.7500 0.5824 0.3419
Y: 0.7500 0.0980 0.3663
Y: 0.2500 0.7756 0.0665
Y: 0.2500 0.4176 0.6581
Ge: 0.7500 0.7159 0.8296
Ge: 0.2500 0.2841 0.1704
H: 0.7500 0.1631 0.6518
H: 0.2500 0.8369 0.3482

## Properties
The value obtained for the density of states at the Fermi level is 0.880 states/eV/atom. The calculation puts the energy above the lowest structure with this stoichiometry at 0.00 eV/f.u.

No. 17
# BeIn2P

An optimized crystal structure of BeIn2P (PBE-GGA, the Alexandria database).

abc: 4.8377 4.8377 4.8377
angles: 60.00 60.00 60.00
Sites, in units of the cell vectors:
In: 0.2500 0.2500 0.2500
In: 0.7500 0.7500 0.7500
Be: 0.0000 0.0000 0.0000
P: 0.5000 0.5000 0.5000

## Properties
The value obtained for the density of states at the Fermi level is 0.655 states/eV/atom. The calculation puts the energy above the lowest structure with this stoichiometry at 2.01 eV/f.u.

No. 18
# NdHo4Th

An optimized crystal structure of NdHo4Th (PBE-GGA, the Alexandria database).

abc: 8.8008 8.8008 6.2479
angles: 83.11 83.11 23.45
Sites, in units of the cell vectors:
Ho: 0.1678 0.1678 0.1151
Ho: 0.6656 0.6656 0.6098
Ho: 0.3344 0.3344 0.3902
Ho: 0.8322 0.8322 0.8849
Nd: 0.5000 0.5000 0.0000
Th: 0.0000 0.0000 0.5000

## Properties
The value obtained for the density of states at the Fermi level is 1.280 states/eV/atom. The calculation puts the energy above the lowest structure with this stoichiometry at 0.00 eV/f.u.

No. 19
# Cd4TcH2

An optimized crystal structure of Cd4TcH2 (PBE-GGA, the Alexandria database).

abc: 5.4917 5.4917 6.5580
angles: 65.25 65.25 90.00
Sites, in units of the cell vectors:
H: 0.4623 0.4623 0.0755
H: 0.5377 0.5377 0.9245
Cd: 0.5000 0.0000 0.0000
Cd: 0.0000 0.5000 0.0000
Cd: 0.2565 0.2565 0.4870
Cd: 0.7435 0.7435 0.5130
Tc: 0.0000 0.0000 0.0000

## Properties
The value obtained for the total energy is -2.278 eV/atom. The value obtained for the density of states at the Fermi level is 0.807 states/eV/atom.

No. 20
# UBSe2

An optimized crystal structure of UBSe2 (PBE-GGA, the Alexandria database).

abc: 3.1798 3.1798 8.6258
angles: 79.38 79.38 60.00
Sites, in units of the cell vectors:
Se: 0.8854 0.8854 0.3437
Se: 0.1146 0.1146 0.6563
B: 0.5000 0.5000 0.5000
U: 0.0000 0.0000 0.0000

## Properties
For the formation energy from raw total energies, the calculation gives 0.416 eV/atom. The value obtained for the density of states at the Fermi level is 1.590 states/eV/atom. The calculation puts the energy above the lowest structure with this stoichiometry at 0.60 eV/f.u.